# 1
# Sr2BiIr2 (PBE, optimized geometry)
# Density of states at the Fermi level in states/eV per atom: 0.778
# Formation energy in eV/atom: -0.211
# Total DFT energy (no corrections) in eV/atom: -5.204
# ΔE to the lowest computed polymorph in eV/f.u.: 0.00
data_Sr2BiIr2
_chemical_formula_sum 'Sr2 Bi1 Ir2'
_cell_length_a 3.719
_cell_length_b 3.719
_cell_length_c 10.196
_cell_angle_alpha 79.49
_cell_angle_beta 79.49
_cell_angle_gamma 90.00
_space_group_name_H-M_alt 'P 1'
_space_group_IT_number 1
loop_
_space_group_symop_operation_xyz
'x,y,z'
loop_
_atom_site_label
_atom_site_type_symbol
_atom_site_fract_x
_atom_site_fract_y
_atom_site_fract_z
_atom_site_occupancy
Sr1 Sr 0.622 0.622 0.756 1
Ir1 Ir 0.250 0.750 0.500 1
Ir2 Ir 0.750 0.250 0.500 1
Sr2 Sr 0.378 0.378 0.244 1
Bi1 Bi 0.000 0.000 0.000 1

=====

# 2
# LiSmBeSi2 (PBE, optimized geometry)
# Density of states at the Fermi level in states/eV per atom: 0.297
# Total DFT energy (no corrections) in eV/atom: -4.665
# Raw formation energy in meV per atom: -424
data_LiSmBeSi2
_chemical_formula_sum 'Li1 Sm1 Be1 Si2'
_cell_length_a 4.041
_cell_length_b 4.041
_cell_length_c 5.730
_cell_angle_alpha 110.65
_cell_angle_beta 110.65
_cell_angle_gamma 90.00
_space_group_name_H-M_alt 'P 1'
_space_group_IT_number 1
loop_
_space_group_symop_operation_xyz
'x,y,z'
loop_
_atom_site_label
_atom_site_type_symbol
_atom_site_fract_x
_atom_site_fract_y
_atom_site_fract_z
_atom_site_occupancy
Li1 Li 0.250 0.750 0.500 1
Si1 Si 0.381 0.381 0.761 1
Be1 Be 0.750 0.250 0.500 1
Si2 Si 0.619 0.619 0.239 1
Sm1 Sm 0.000 0.000 0.000 1

=====

# 3
# Nd3CSe2 (PBE, optimized geometry)
# Density of states at the Fermi level in states/eV per atom: 0.308
# Total DFT energy (no corrections) in eV/atom: -6.370
# Raw formation energy in meV per atom: -1287
# ΔE to the lowest computed polymorph in eV/f.u.: 0.21
data_Nd3CSe2
_chemical_formula_sum 'Nd6 C2 Se4'
_cell_length_a 5.859
_cell_length_b 7.915
_cell_length_c 7.250
_cell_angle_alpha 105.81
_cell_angle_beta 113.83
_cell_angle_gamma 90.00
_space_group_name_H-M_alt 'P 1'
_space_group_IT_number 1
loop_
_space_group_symop_operation_xyz
'x,y,z'
loop_
_atom_site_label
_atom_site_type_symbol
_atom_site_fract_x
_atom_site_fract_y
_atom_site_fract_z
_atom_site_occupancy
C1 C 0.029 0.250 0.000 1
Nd1 Nd 0.525 0.750 0.000 1
Nd2 Nd 0.862 0.431 0.725 1
Se1 Se 0.674 0.087 0.349 1
Nd3 Nd 0.137 0.069 0.275 1
Se2 Se 0.326 0.913 0.651 1
Nd4 Nd 0.475 0.250 0.000 1
Nd5 Nd 0.863 0.931 0.725 1
Se3 Se 0.675 0.587 0.349 1
Nd6 Nd 0.138 0.569 0.275 1
C2 C 0.971 0.750 0.000 1
Se4 Se 0.325 0.413 0.651 1

=====

# 4
# LiCu3Si (PBE, optimized geometry)
# Density of states at the Fermi level in states/eV per atom: 0.219
# Total DFT energy (no corrections) in eV/atom: -3.723
# Raw formation energy in meV per atom: 202
# ΔE to the lowest computed polymorph in eV/f.u.: 1.85
data_LiCu3Si
_chemical_formula_sum 'Li2 Cu6 Si2'
_cell_length_a 4.435
_cell_length_b 6.280
_cell_length_c 6.286
_cell_angle_alpha 90.00
_cell_angle_beta 90.00
_cell_angle_gamma 90.00
_space_group_name_H-M_alt 'P 1'
_space_group_IT_number 1
loop_
_space_group_symop_operation_xyz
'x,y,z'
loop_
_atom_site_label
_atom_site_type_symbol
_atom_site_fract_x
_atom_site_fract_y
_atom_site_fract_z
_atom_site_occupancy
Cu1 Cu 0.000 0.250 0.750 1
Cu2 Cu 0.500 0.000 0.500 1
Li1 Li 0.500 0.500 0.500 1
Si1 Si 0.000 0.500 0.000 1
Cu3 Cu 0.000 0.750 0.250 1
Cu4 Cu 0.000 0.750 0.750 1
Cu5 Cu 0.000 0.250 0.250 1
Si2 Si 0.000 0.000 0.500 1
Cu6 Cu 0.500 0.500 0.000 1
Li2 Li 0.500 0.000 0.000 1

=====

# 5
# Ca2IrF (PBE, optimized geometry)
# Density of states at the Fermi level in states/eV per atom: 0.000
# Total DFT energy (no corrections) in eV/atom: -4.997
# Raw formation energy in meV per atom: -1314
# ΔE to the lowest computed polymorph in eV/f.u.: 0.00
data_Ca2IrF
_chemical_formula_sum 'Ca4 Ir2 F2'
_cell_length_a 6.698
_cell_length_b 6.698
_cell_length_c 6.039
_cell_angle_alpha 56.32
_cell_angle_beta 56.32
_cell_angle_gamma 90.00
_space_group_name_H-M_alt 'P 1'
_space_group_IT_number 1
loop_
_space_group_symop_operation_xyz
'x,y,z'
loop_
_atom_site_label
_atom_site_type_symbol
_atom_site_fract_x
_atom_site_fract_y
_atom_site_fract_z
_atom_site_occupancy
Ca1 Ca 0.875 0.821 0.750 1
F1 F 0.250 0.750 0.500 1
Ca2 Ca 0.571 0.125 0.250 1
Ca3 Ca 0.375 0.429 0.750 1
F2 F 0.500 0.500 0.000 1
Ir1 Ir 0.000 0.000 0.000 1
Ir2 Ir 0.750 0.250 0.500 1
Ca4 Ca 0.179 0.625 0.250 1

=====

# 6
# ThMgTcNi (PBE, optimized geometry)
# Density of states at the Fermi level in states/eV per atom: 0.619
# Formation energy in eV/atom: -0.051
# Total DFT energy (no corrections) in eV/atom: -6.341
data_ThMgTcNi
_chemical_formula_sum 'Th1 Mg1 Tc1 Ni1'
_cell_length_a 4.702
_cell_length_b 4.702
_cell_length_c 4.702
_cell_angle_alpha 60.00
_cell_angle_beta 60.00
_cell_angle_gamma 60.00
_space_group_name_H-M_alt 'P 1'
_space_group_IT_number 1
loop_
_space_group_symop_operation_xyz
'x,y,z'
loop_
_atom_site_label
_atom_site_type_symbol
_atom_site_fract_x
_atom_site_fract_y
_atom_site_fract_z
_atom_site_occupancy
Mg1 Mg 0.000 0.000 0.000 1
Tc1 Tc 0.750 0.750 0.750 1
Th1 Th 0.500 0.500 0.500 1
Ni1 Ni 0.250 0.250 0.250 1

=====

# 7
# NbCd3Cl (PBE, optimized geometry)
# Density of states at the Fermi level in states/eV per atom: 1.006
# Total DFT energy (no corrections) in eV/atom: -2.182
# Raw formation energy in meV per atom: 751
# ΔE to the lowest computed polymorph in eV/f.u.: 0.00
data_NbCd3Cl
_chemical_formula_sum 'Nb1 Cd3 Cl1'
_cell_length_a 5.666
_cell_length_b 5.666
_cell_length_c 5.666
_cell_angle_alpha 90.00
_cell_angle_beta 90.00
_cell_angle_gamma 90.00
_space_group_name_H-M_alt 'P 1'
_space_group_IT_number 1
loop_
_space_group_symop_operation_xyz
'x,y,z'
loop_
_atom_site_label
_atom_site_type_symbol
_atom_site_fract_x
_atom_site_fract_y
_atom_site_fract_z
_atom_site_occupancy
Nb1 Nb 0.000 0.000 0.000 1
Cd1 Cd 0.500 0.000 0.000 1
Cd2 Cd 0.000 0.500 0.000 1
Cd3 Cd 0.000 0.000 0.500 1
Cl1 Cl 0.500 0.500 0.500 1

=====

# 8
# Ta2Tl (PBE, optimized geometry)
# Density of states at the Fermi level in states/eV per atom: 0.714
# Formation energy in eV/atom: 0.542
# Total DFT energy (no corrections) in eV/atom: -8.148
data_Ta2Tl
_chemical_formula_sum 'Ta4 Tl2'
_cell_length_a 4.848
_cell_length_b 4.848
_cell_length_c 5.742
_cell_angle_alpha 90.00
_cell_angle_beta 90.00
_cell_angle_gamma 120.00
_space_group_name_H-M_alt 'P 1'
_space_group_IT_number 1
loop_
_space_group_symop_operation_xyz
'x,y,z'
loop_
_atom_site_label
_atom_site_type_symbol
_atom_site_fract_x
_atom_site_fract_y
_atom_site_fract_z
_atom_site_occupancy
Ta1 Ta 0.000 0.000 0.000 1
Ta2 Ta 0.667 0.333 0.750 1
Ta3 Ta 0.000 0.000 0.500 1
Ta4 Ta 0.333 0.667 0.250 1
Tl1 Tl 0.667 0.333 0.250 1
Tl2 Tl 0.333 0.667 0.750 1